A geometry-optimized Ho2Ga5Pd2Rh structure. Source: the Alexandria database, functional GGA-PBE.

a b c (Å): 9.362 9.362 4.117
angles (deg): 90.00 90.00 90.00
Space group P4/mbm (No. 127)
Asymmetric unit:
Ho1 0.183 0.317 0.000
Ga1 0.000 0.500 0.500
Ga2 0.053 0.804 0.500
Pd1 0.114 0.614 0.000
Rh1 0.000 0.000 0.000

Results
The formation energy from the elements comes out at -0.62 eV per atom.

***

A geometry-optimized PrMn2Si2C structure. Source: the Alexandria database, functional GGA-PBE.

a b c (Å): 3.930 3.930 5.373
angles (deg): 90.00 90.00 90.00
Space group P4/mmm (No. 123)
Asymmetric unit:
Pr1 0.000 0.000 0.000
Mn1 0.000 0.500 0.500
Si1 0.500 0.500 0.235
C1 0.000 0.000 0.500

Results
Its uncorrected formation energy is -429 meV per atom.

***

A geometry-optimized Be2CuTe structure. Source: the Alexandria database, functional GGA-PBE.

a b c (Å): 3.8799 3.8799 13.7776
angles (deg): 90.00 90.00 120.00
Space group R-3m (No. 166, hexagonal axes)
Asymmetric unit:
Be1 0.0000 0.0000 0.1976
Cu1 0.0000 0.0000 0.5000
Te1 0.0000 0.0000 0.0000

Results
Its uncorrected formation energy is 308 meV per atom.

***

A geometry-optimized HoUC2 structure. Source: the Alexandria database, functional GGA-PBE.

a b c (Å): 3.5321 3.5321 17.4421
angles (deg): 90.00 90.00 120.00
Space group R3m (No. 160, hexagonal axes)
Asymmetric unit:
Ho1 0.0000 0.0000 0.0000
U1 0.0000 0.0000 0.8273
C1 0.0000 0.0000 0.2304
C2 0.0000 0.0000 0.4215

Results
The formation energy from the elements comes out at -0.10 eV per atom. For the offset from the most stable computed form, the calculation gives 0.190 eV per atom.

***

A geometry-optimized CeAl2Br8 structure. Source: the Alexandria database, functional GGA-PBE.

a b c (Å): 13.851 9.751 6.893
angles (deg): 90.00 99.51 90.00
Space group C2/m (No. 12)
Asymmetric unit:
Ce1 0.000 0.000 0.000
Al1 0.198 0.000 0.656
Br1 0.108 0.188 0.756
Br2 0.141 0.500 0.206
Br3 0.186 0.000 0.305

Results
Its uncorrected formation energy is -1212 meV per atom.

***

A geometry-optimized TbYPd2 structure. Source: the Alexandria database, functional GGA-PBE.

a b c (Å): 4.542 3.775 10.600
angles (deg): 90.00 90.00 90.00
Space group Amm2 (No. 38)
Asymmetric unit:
Tb1 0.000 0.000 0.000
Y1 0.500 0.000 0.725
Pd1 0.000 0.000 0.277
Pd2 0.500 0.000 0.449

Results
The formation energy from the elements comes out at -0.90 eV per atom.

***

A geometry-optimized BaPr2Ho structure. Source: the Alexandria database, functional GGA-PBE.

a b c (Å): 5.314 5.314 5.438
angles (deg): 90.00 90.00 90.00
Space group P4/mmm (No. 123)
Asymmetric unit:
Ba1 0.000 0.000 0.000
Pr1 0.000 0.500 0.500
Ho1 0.500 0.500 0.000

Results
The formation energy from the elements comes out at 0.20 eV per atom. For the offset from the most stable computed form, the calculation gives 0.094 eV per atom.

***

A geometry-optimized CaTbSm14 structure. Source: the Alexandria database, functional GGA-PBE.

a b c (Å): 11.663 7.386 12.776
angles (deg): 90.00 90.00 90.00
Space group Amm2 (No. 38)
Asymmetric unit:
Ca1 0.000 0.000 0.000
Tb1 0.000 0.000 0.501
Sm1 0.000 0.248 0.749
Sm2 0.247 0.000 0.667
Sm3 0.252 0.000 0.170
Sm4 0.252 0.246 0.416
Sm5 0.500 0.000 0.001
Sm6 0.500 0.000 0.501
Sm7 0.500 0.250 0.250

Results
The formation energy from the elements comes out at 0.04 eV per atom.

***

A geometry-optimized K3CuBr6 structure. Source: the Alexandria database, functional GGA-PBE.

a b c (Å): 12.6166 12.6166 15.7917
angles (deg): 90.00 90.00 120.00
Space group R-3 (No. 148, hexagonal axes)
Asymmetric unit:
K1 0.0627 0.6036 0.3760
Cu1 0.0000 0.0000 0.0000
Cu2 0.0000 0.0000 0.5000
Br1 0.0062 0.1688 0.0942
Br2 0.0462 0.8614 0.4069

Results
Its uncorrected formation energy is -1049 meV per atom.

***

A geometry-optimized AcPuHgPt structure. Source: the Alexandria database, functional GGA-PBE.

a b c (Å): 7.561 7.561 7.561
angles (deg): 90.00 90.00 90.00
Space group F-43m (No. 216)
Asymmetric unit:
Ac1 0.000 0.000 0.000
Pu1 0.000 0.000 0.500
Hg1 0.250 0.250 0.750
Pt1 0.250 0.250 0.250

Results
The formation energy from the elements comes out at -0.49 eV per atom.

***

A geometry-optimized CdSi2F structure. Source: the Alexandria database, functional GGA-PBE.

a b c (Å): 3.503 3.503 21.903
angles (deg): 90.00 90.00 90.00
Space group I-42d (No. 122)
Asymmetric unit:
Cd1 0.000 0.000 0.000
Si1 0.235 0.250 0.125
F1 0.000 0.000 0.500

Results
Its uncorrected formation energy is -330 meV per atom. For the offset from the most stable computed form, the calculation gives 0.000 eV per atom.

***

A geometry-optimized BeCr2Br structure. Source: the Alexandria database, functional GGA-PBE.

a b c (Å): 3.093 3.953 5.357
angles (deg): 90.00 100.96 90.00
Space group P2/m (No. 10)
Asymmetric unit:
Be1 0.000 0.000 0.000
Cr1 0.334 0.500 0.142
Br1 0.500 0.000 0.500

Results
Its uncorrected formation energy is 607 meV per atom. For the offset from the most stable computed form, the calculation gives 0.229 eV per atom.

***

A geometry-optimized Sr2MgSe3 structure. Source: the Alexandria database, functional GGA-PBE.

a b c (Å): 9.042 4.324 17.374
angles (deg): 90.00 90.00 90.00
Space group Pnma (No. 62)
Asymmetric unit:
Sr1 0.086 0.250 0.218
Sr2 0.224 0.250 0.956
Mg1 0.114 0.250 0.628
Se1 0.031 0.250 0.404
Se2 0.125 0.750 0.072
Se3 0.174 0.250 0.773

Results
Its uncorrected formation energy is -1747 meV per atom.

***

A geometry-optimized NaTeAsBr2 structure. Source: the Alexandria database, functional GGA-PBE.

a b c (Å): 5.943 5.943 5.288
angles (deg): 90.00 90.00 90.00
Space group P4/mmm (No. 123)
Asymmetric unit:
Na1 0.000 0.000 0.000
Te1 0.500 0.500 0.500
As1 0.500 0.500 0.000
Br1 0.000 0.500 0.500

Results
Its uncorrected formation energy is -131 meV per atom. For the offset from the most stable computed form, the calculation gives 0.000 eV per atom.

***

A geometry-optimized Ba2Fe structure. Source: the Alexandria database, functional GGA-PBE.

a b c (Å): 5.720 5.720 3.740
angles (deg): 90.00 90.00 90.00
Space group P4/mmm (No. 123)
Asymmetric unit:
Ba1 0.000 0.500 0.000
Fe1 0.000 0.000 0.500

Results
The formation energy from the elements comes out at 0.65 eV per atom.

***

A geometry-optimized NbOs2Ru2 structure. Source: the Alexandria database, functional GGA-PBE.

a b c (Å): 7.441 7.441 2.779
angles (deg): 90.00 90.00 90.00
Space group P4/mbm (No. 127)
Asymmetric unit:
Nb1 0.000 0.000 0.000
Os1 0.172 0.328 0.500
Ru1 0.123 0.623 0.000

Results
The formation energy from the elements comes out at 0.10 eV per atom. For the offset from the most stable computed form, the calculation gives 0.085 eV per atom.

***

A geometry-optimized SmTm2Pa structure. Source: the Alexandria database, functional GGA-PBE.

a b c (Å): 3.4164 3.4164 34.4564
angles (deg): 90.00 90.00 120.00
Space group R3m (No. 160, hexagonal axes)
Asymmetric unit:
Sm1 0.0000 0.0000 0.0000
Tm1 0.0000 0.0000 0.4201
Tm2 0.0000 0.0000 0.5805
Pa1 0.0000 0.0000 0.8340

Results
The formation energy from the elements comes out at 0.11 eV per atom. For the offset from the most stable computed form, the calculation gives 0.000 eV per atom.

***

A geometry-optimized YHf3Pt structure. Source: the Alexandria database, functional GGA-PBE.

a b c (Å): 5.116 5.116 5.116
angles (deg): 90.00 90.00 90.00
Space group Pm-3m (No. 221)
Asymmetric unit:
Y1 0.000 0.000 0.000
Hf1 0.000 0.500 0.500
Pt1 0.500 0.500 0.500

Results
The formation energy from the elements comes out at 0.09 eV per atom. For the offset from the most stable computed form, the calculation gives 0.000 eV per atom.

***

A geometry-optimized CuRhCl2 structure. Source: the Alexandria database, functional GGA-PBE.

a b c (Å): 5.726 5.726 10.258
angles (deg): 90.00 90.00 90.00
Space group I-42d (No. 122)
Asymmetric unit:
Cu1 0.000 0.000 0.000
Rh1 0.000 0.000 0.500
Cl1 0.227 0.250 0.125

Results
Its uncorrected formation energy is 109 meV per atom. For the offset from the most stable computed form, the calculation gives 0.287 eV per atom.

***

A geometry-optimized Ba6Sr12Ca structure. Source: the Alexandria database, functional GGA-PBE.

a b c (Å): 14.6293 14.6293 18.0933
angles (deg): 90.00 90.00 120.00
Space group R-3 (No. 148, hexagonal axes)
Asymmetric unit:
Ba1 0.0315 0.5924 0.2061
Sr1 0.0361 0.8527 0.3117
Sr2 0.0633 0.2112 0.9119
Ca1 0.0000 0.0000 0.5000

Results
The formation energy from the elements comes out at 0.06 eV per atom. For the offset from the most stable computed form, the calculation gives 0.000 eV per atom.

***

A geometry-optimized FeHg2Pt structure. Source: the Alexandria database, functional GGA-PBE.

a b c (Å): 9.335 2.985 5.229
angles (deg): 90.00 101.07 90.00
Space group C2/m (No. 12)
Asymmetric unit:
Fe1 0.000 0.000 0.000
Hg1 0.246 0.500 0.245
Pt1 0.000 0.500 0.500

Results
The formation energy from the elements comes out at 0.28 eV per atom.

***

A geometry-optimized CaBeRh2Au structure. Source: the Alexandria database, functional GGA-PBE.

a b c (Å): 4.325 4.325 4.419
angles (deg): 90.00 90.00 90.00
Space group P4/mmm (No. 123)
Asymmetric unit:
Ca1 0.000 0.000 0.000
Be1 0.500 0.500 0.500
Rh1 0.000 0.500 0.500
Au1 0.500 0.500 0.000

Results
The formation energy from the elements comes out at -0.32 eV per atom.

***

A geometry-optimized PmHoCI structure. Source: the Alexandria database, functional GGA-PBE.

a b c (Å): 3.7982 3.7982 22.6315
angles (deg): 90.00 90.00 120.00
Space group R3m (No. 160, hexagonal axes)
Asymmetric unit:
Pm1 0.0000 0.0000 0.0000
Ho1 0.0000 0.0000 0.2188
C1 0.0000 0.0000 0.6037
I1 0.0000 0.0000 0.7794

Results
Its uncorrected formation energy is -728 meV per atom.

***

A geometry-optimized TaCuW structure. Source: the Alexandria database, functional GGA-PBE.

a b c (Å): 2.720 2.720 12.608
angles (deg): 90.00 90.00 90.00
Space group I4mm (No. 107)
Asymmetric unit:
Ta1 0.000 0.000 0.000
Cu1 0.000 0.000 0.340
W1 0.000 0.000 0.686

Results
The formation energy from the elements comes out at 0.20 eV per atom. For the offset from the most stable computed form, the calculation gives 0.143 eV per atom.

***

Q: Which volume values were calculated for the entries above? A: 18.04, 13.83, 14.97, 15.70, 41.73, 22.72, 38.39, 34.39, 36.28, 27.02, 16.80, 16.07, 28.31, 37.35, 40.78, 15.38, 29.02, 26.78, 21.02, 58.83, 17.88, 16.53, 23.56, 15.54, in A^3/atom.
Q: Which Fermi-level density of states values were calculated for the entries above? A: 11.855, 4.348, 1.605, 12.049, 22.721, 6.536, 6.712, 52.947, 20.049, 46.851, 7.914, 2.936, 0.000, 1.446, 4.934, 8.635, 20.710, 8.551, 0.409, 73.407, 6.673, 4.779, 6.723, 3.914, in states/eV per cell.